No. 1
# B3AsPd

B3AsPd after structural relaxation (PBE-GGA, the Alexandria database).

a b c (Å): 4.1300 4.1300 4.1300
angles (deg): 90.00 90.00 90.00
With the nearest neighbours (Å) after each atom.
Space group Pm-3m (No. 221)
Asymmetric unit:
B: 0.0000 0.0000 0.5000 [3 per cell]  2 Pd 2.06
As: 0.5000 0.5000 0.5000 [1 per cell]  12 B 2.92
Pd: 0.0000 0.0000 0.0000 [1 per cell]  6 B 2.06

Properties
As for the formation enthalpy at 0 K: 1524 meV/atom. The distance to the lowest polymorph of the same formula comes out at 0.0 meV per atom.

---

No. 2
# BAsPd2

BAsPd2 after structural relaxation (PBE-GGA, the Alexandria database).

a b c (Å): 6.0409 6.0409 6.0409
angles (deg): 90.00 90.00 90.00
With the nearest neighbours (Å) after each atom.
Space group Fm-3m (No. 225)
Asymmetric unit:
B: 0.0000 0.0000 0.0000 [4 per cell]  8 Pd 2.62
As: 0.0000 0.0000 0.5000 [4 per cell]  8 Pd 2.62
Pd: 0.2500 0.2500 0.2500 [8 per cell]  4 As 2.62, 4 B 2.62

Properties
As for the formation enthalpy at 0 K: 409 meV/atom. The distance to the lowest polymorph of the same formula comes out at 260.2 meV per atom.

---

No. 3
# BAsPd2

BAsPd2 after structural relaxation (PBE-GGA, the Alexandria database).

a b c (Å): 4.9286 4.9286 11.3783
angles (deg): 90.00 90.00 90.00
With the nearest neighbours (Å) after each atom.
Space group I-42d (No. 122)
Asymmetric unit:
B: 0.0000 0.0000 0.0000 [4 per cell]  4 Pd 2.07
As: 0.0000 0.0000 0.5000 [4 per cell]  4 Pd 2.47
Pd: 0.1745 0.2500 0.1250 [8 per cell]  2 B 2.07

Properties
As for the formation enthalpy at 0 K: 149 meV/atom. The distance to the lowest polymorph of the same formula comes out at 0.0 meV per atom.

---

No. 4
# B3AsPd

B3AsPd after structural relaxation (PBE-GGA, the Alexandria database).

a b c (Å): 4.0878 4.0878 4.0878
angles (deg): 90.00 90.00 90.00
With the nearest neighbours (Å) after each atom.
Space group Pm-3m (No. 221)
Asymmetric unit:
B: 0.0000 0.0000 0.5000 [3 per cell]  2 As 2.04
As: 0.0000 0.0000 0.0000 [1 per cell]  6 B 2.04
Pd: 0.5000 0.5000 0.5000 [1 per cell]  12 B 2.89

Properties
As for the formation enthalpy at 0 K: 1826 meV/atom. The distance to the lowest polymorph of the same formula comes out at 302.3 meV per atom.